{
  "formula": "Ca2Ge2Pd",
  "functional": "PBE",
  "state": "optimized geometry",
  "lattice_angstrom": [[-3.822, 1.440, -5.490], [2.171, -5.744, -3.018], [-3.549, -2.320, 1.863]],
  "species": ["Ge", "Ge", "Ge", "Ge", "Ca", "Ca", "Ca", "Ca", "Pd", "Pd"],
  "frac_coords": [[0.363, 0.863, 0.000], [0.863, 0.637, 0.000], [0.637, 0.137, 0.000], [0.137, 0.363, 0.000], [0.170, 0.670, 0.500], [0.670, 0.830, 0.500], [0.830, 0.330, 0.500], [0.330, 0.170, 0.500], [0.000, 0.000, 0.000], [0.500, 0.500, 0.000]],
  "volume_a3_per_atom": 21.7,
  "total_magnetization_mub_per_atom": 0.000,
  "formation_enthalpy_0k_ev_per_atom": -0.69,
  "sg": "P4/mbm"
}

=====

{
  "formula": "Ba2OsPt",
  "functional": "PBE",
  "state": "optimized geometry",
  "lattice_angstrom": [[8.528, -0.309, -0.184], [7.569, 3.941, -0.184], [7.569, 1.708, 3.556]],
  "species": ["Os", "Ba", "Ba", "Pt"],
  "frac_coords": [[0.750, 0.750, 0.750], [0.996, 0.996, 0.996], [0.504, 0.504, 0.504], [0.250, 0.250, 0.250]],
  "volume_a3_per_atom": 33.5,
  "polymorph_energy_kcal_per_mol_atoms": 15.52,
  "total_magnetization_mub_per_atom": 0.517,
  "formation_enthalpy_0k_ev_per_atom": 0.65,
  "sg": "R-3m"
}

=====

{
  "formula": "Tc3Ni2P4",
  "functional": "PBE",
  "state": "optimized geometry",
  "lattice_angstrom": [[-1.146, -2.943, -0.164], [5.285, -2.122, 1.156], [-2.711, 0.332, 13.005]],
  "species": ["Tc", "Tc", "Tc", "Tc", "Tc", "Tc", "Ni", "Ni", "Ni", "Ni", "P", "P", "P", "P", "P", "P", "P", "P"],
  "frac_coords": [[0.000, 0.287, 0.813], [0.500, 0.787, 0.687], [0.000, 0.713, 0.187], [0.500, 0.213, 0.313], [0.000, 0.000, 0.000], [0.500, 0.500, 0.500], [0.000, 0.829, 0.389], [0.500, 0.329, 0.111], [0.000, 0.171, 0.611], [0.500, 0.671, 0.889], [0.500, 0.305, 0.947], [0.500, 0.695, 0.053], [0.000, 0.106, 0.181], [0.000, 0.195, 0.447], [0.500, 0.606, 0.319], [0.000, 0.894, 0.819], [0.000, 0.805, 0.553], [0.500, 0.394, 0.681]],
  "volume_a3_per_atom": 13.6,
  "total_magnetization_mub_per_atom": 0.000,
  "formation_enthalpy_0k_ev_per_atom": -0.45,
  "sg": "Pnnm"
}